# LiCd2Mo | the Alexandria database | PBE | relaxed
# ΔE_f, meV per atom: 209
# Symmetry: P4/mmm
# Energy relative to the lowest polymorph listed for this composition, eV per atom: 0.064
# Magnetic moment, μB/cell: 0.465
data_LiCd2Mo
_chemical_formula_sum 'Li1 Cd2 Mo1'
_symmetry_space_group_name_H-M 'P 1'
_symmetry_Int_Tables_number 1
_cell_length_a 5.051
_cell_length_b 5.051
_cell_length_c 2.854
_cell_angle_alpha 90.00
_cell_angle_beta 90.00
_cell_angle_gamma 90.00
loop_
_symmetry_equiv_pos_as_xyz
'x,y,z'
loop_
_atom_site_label
_atom_site_fract_x
_atom_site_fract_y
_atom_site_fract_z
Li1 0.000 0.000 0.000
Cd1 0.000 0.500 0.500
Cd2 0.500 0.000 0.500
Mo1 0.500 0.500 0.000